[1]
Compound: PrHo5Ag4
Source: Alexandria via LeMat-Bulk
Functional: GGA-PBE
Structure: optimized geometry

a b c (Å): 3.597 3.597 19.819
angles (deg): 90.00 90.00 90.00
Space group P4/mmm (No. 123)
One atom of each set of equivalent atoms:
Pr 0.000 0.000 0.000
Ho 0.500 0.500 0.130
Ho 0.500 0.500 0.314
Ho 0.500 0.500 0.500
Ag 0.000 0.000 0.222
Ag 0.000 0.000 0.407

## Properties
- E (eV per atom) = -4.1619
- magnetization (μB per formula unit) = 0.00

=====

[2]
Compound: PrHoAg2
Source: Alexandria via LeMat-Bulk
Functional: GGA-PBE
Structure: optimized geometry

a b c (Å): 7.420 7.420 7.420
angles (deg): 90.00 90.00 90.00
Space group Fm-3m (No. 225)
One atom of each set of equivalent atoms:
Pr 0.000 0.000 0.000
Ho 0.000 0.000 0.500
Ag 0.250 0.250 0.250

## Properties
- E (eV per atom) = -4.0328
- energy relative to the lowest polymorph listed for this composition (kcal/mol of atoms) = 0.58
- magnetization (μB per formula unit) = 0.00

=====

[3]
Compound: Pr4HoAg
Source: Alexandria via LeMat-Bulk
Functional: GGA-PBE
Structure: optimized geometry

a b c (Å): 3.707 3.707 14.182
angles (deg): 90.00 90.00 90.00
Space group P4/mmm (No. 123)
One atom of each set of equivalent atoms:
Pr 0.000 0.000 0.139
Pr 0.500 0.500 0.325
Ho 0.000 0.000 0.500
Ag 0.500 0.500 0.000

## Properties
- E (eV per atom) = -4.4859
- magnetization (μB per formula unit) = 0.00

=====

[4]
Compound: Pr3HoAg2
Source: Alexandria via LeMat-Bulk
Functional: GGA-PBE
Structure: optimized geometry

a b c (Å): 5.286 9.505 7.007
angles (deg): 90.00 90.00 90.00
Space group Pmc2_1 (No. 26)
One atom of each set of equivalent atoms:
Pr 0.000 0.060 0.000
Pr 0.000 0.337 0.344
Pr 0.500 0.172 0.666
Ho 0.500 0.441 0.016
Ag 0.000 0.349 0.785
Ag 0.500 0.159 0.228

## Properties
- E (eV per atom) = -4.2513
- magnetization (μB per formula unit) = 0.00

=====

[5]
Compound: PrHoAg6
Source: Alexandria via LeMat-Bulk
Functional: GGA-PBE
Structure: optimized geometry

a b c (Å): 9.283 4.609 9.208
angles (deg): 90.00 119.10 90.00
Space group C2/m (No. 12)
One atom of each set of equivalent atoms:
Pr 0.000 0.000 0.000
Ho 0.000 0.000 0.500
Ag 0.006 0.500 0.746
Ag 0.247 0.000 0.861
Ag 0.247 0.500 0.616

## Properties
- E (eV per atom) = -3.4950
- magnetization (μB per formula unit) = 0.00

=====

[6]
Compound: Pr2HoAg5
Source: Alexandria via LeMat-Bulk
Functional: GGA-PBE
Structure: optimized geometry

a b c (Å): 5.151 5.151 14.486
angles (deg): 90.00 90.00 90.00
Space group I4/mmm (No. 139)
One atom of each set of equivalent atoms:
Pr 0.000 0.000 0.230
Ho 0.000 0.000 0.500
Ag 0.000 0.000 0.000
Ag 0.000 0.500 0.110

## Properties
- E (eV per atom) = -3.7487
- magnetization (μB per formula unit) = 0.00

=====

Number 1: calculated volume 25.65 A^3/atom, DFT formation energy -0.255 eV/atom. Number 2: calculated volume 25.53 A^3/atom, DFT formation energy -0.268 eV/atom. Number 3: calculated volume 32.48 A^3/atom, DFT formation energy -0.061 eV/atom. Number 4: calculated volume 29.34 A^3/atom, DFT formation energy -0.148 eV/atom. Number 5: calculated volume 21.52 A^3/atom, DFT formation energy -0.187 eV/atom. Number 6: calculated volume 24.02 A^3/atom, DFT formation energy -0.200 eV/atom.